[1]
Computed, not measured: a relaxed structure of TlCuGe2 at the GGA-PBE level of DFT.

Summary:
total magnetization = 0.00 Bohr magnetons per cell

Structure (CIF):
```
data_TlCuGe2
_chemical_formula_sum 'Tl4 Cu4 Ge8'
_cell_length_a 4.695
_cell_length_b 4.695
_cell_length_c 16.262
_cell_angle_alpha 90.00
_cell_angle_beta 90.00
_cell_angle_gamma 90.00
_space_group_name_H-M_alt 'I -4 2 d'
_space_group_IT_number 122
_space_group_name_Hall 'I -4 2bw'
loop_
_atom_site_label
_atom_site_fract_x
_atom_site_fract_y
_atom_site_fract_z
Tl1 0.000 0.000 0.000
Cu1 0.000 0.000 0.500
Ge1 0.152 0.250 0.625
```

[2]
Computed, not measured: a relaxed structure of Tl2CuGe at the GGA-PBE level of DFT.

Summary:
total magnetization = 0.00 Bohr magnetons per cell

Structure (CIF):
```
data_Tl2CuGe
_chemical_formula_sum 'Tl8 Cu4 Ge4'
_cell_length_a 4.523
_cell_length_b 4.523
_cell_length_c 19.019
_cell_angle_alpha 90.00
_cell_angle_beta 90.00
_cell_angle_gamma 90.00
_space_group_name_H-M_alt 'I -4 2 d'
_space_group_IT_number 122
_space_group_name_Hall 'I -4 2bw'
loop_
_atom_site_label
_atom_site_fract_x
_atom_site_fract_y
_atom_site_fract_z
Tl1 0.233 0.250 0.125
Cu1 0.000 0.000 0.000
Ge1 0.000 0.000 0.500
```

[3]
Computed, not measured: a relaxed structure of TlCu2Ge at the GGA-PBE level of DFT.

Summary:
total magnetization = 0.00 Bohr magnetons per cell

Structure (CIF):
```
data_TlCu2Ge
_chemical_formula_sum 'Tl4 Cu8 Ge4'
_cell_length_a 6.539
_cell_length_b 6.539
_cell_length_c 6.539
_cell_angle_alpha 90.00
_cell_angle_beta 90.00
_cell_angle_gamma 90.00
_space_group_name_H-M_alt 'F m -3 m'
_space_group_IT_number 225
_space_group_name_Hall '-F 4 2 3'
loop_
_atom_site_label
_atom_site_fract_x
_atom_site_fract_y
_atom_site_fract_z
Tl1 0.000 0.000 0.000
Cu1 0.250 0.250 0.250
Ge1 0.000 0.000 0.500
```

[4]
Computed, not measured: a relaxed structure of Tl3CuGe at the GGA-PBE level of DFT.

Summary:
total magnetization = 0.00 Bohr magnetons per cell

Structure (CIF):
```
data_Tl3CuGe
_chemical_formula_sum 'Tl3 Cu1 Ge1'
_cell_length_a 5.201
_cell_length_b 5.201
_cell_length_c 5.201
_cell_angle_alpha 90.00
_cell_angle_beta 90.00
_cell_angle_gamma 90.00
_space_group_name_H-M_alt 'P m -3 m'
_space_group_IT_number 221
_space_group_name_Hall '-P 4 2 3'
loop_
_atom_site_label
_atom_site_fract_x
_atom_site_fract_y
_atom_site_fract_z
Tl1 0.000 0.000 0.500
Cu1 0.000 0.000 0.000
Ge1 0.500 0.500 0.500
```

[5]
Computed, not measured: a relaxed structure of TlCu2Ge2 at the GGA-PBE level of DFT.

Summary:
total magnetization = 0.00 Bohr magnetons per cell

Structure (CIF):
```
data_TlCu2Ge2
_chemical_formula_sum 'Tl2 Cu4 Ge4'
_cell_length_a 7.868
_cell_length_b 7.868
_cell_length_c 2.927
_cell_angle_alpha 90.00
_cell_angle_beta 90.00
_cell_angle_gamma 90.00
_space_group_name_H-M_alt 'P 4/m b m'
_space_group_IT_number 127
_space_group_name_Hall '-P 4 2ab'
loop_
_atom_site_label
_atom_site_fract_x
_atom_site_fract_y
_atom_site_fract_z
Tl1 0.000 0.000 0.000
Cu1 0.148 0.352 0.000
Ge1 0.140 0.640 0.500
```

[6]
Computed, not measured: a relaxed structure of Tl2CuGe at the GGA-PBE level of DFT.

Summary:
total magnetization = 0.00 Bohr magnetons per cell

Structure (CIF):
```
data_Tl2CuGe
_chemical_formula_sum 'Tl8 Cu4 Ge4'
_cell_length_a 7.148
_cell_length_b 7.148
_cell_length_c 7.148
_cell_angle_alpha 90.00
_cell_angle_beta 90.00
_cell_angle_gamma 90.00
_space_group_name_H-M_alt 'F m -3 m'
_space_group_IT_number 225
_space_group_name_Hall '-F 4 2 3'
loop_
_atom_site_label
_atom_site_fract_x
_atom_site_fract_y
_atom_site_fract_z
Tl1 0.250 0.250 0.250
Cu1 0.000 0.000 0.000
Ge1 0.000 0.000 0.500
```

[7]
Computed, not measured: a relaxed structure of Tl2CuGe2 at the GGA-PBE level of DFT.

Summary:
total magnetization = 0.00 Bohr magnetons per cell

Structure (CIF):
```
data_Tl2CuGe2
_chemical_formula_sum 'Tl4 Cu2 Ge4'
_cell_length_a 6.474
_cell_length_b 6.474
_cell_length_c 5.443
_cell_angle_alpha 90.00
_cell_angle_beta 90.00
_cell_angle_gamma 90.00
_space_group_name_H-M_alt 'P 4/m b m'
_space_group_IT_number 127
_space_group_name_Hall '-P 4 2ab'
loop_
_atom_site_label
_atom_site_fract_x
_atom_site_fract_y
_atom_site_fract_z
Tl1 0.181 0.319 0.000
Cu1 0.000 0.000 0.500
Ge1 0.142 0.642 0.500
```

[8]
Computed, not measured: a relaxed structure of TlCu2Ge2 at the GGA-PBE level of DFT.

Summary:
total magnetization = 0.00 Bohr magnetons per cell

Structure (CIF):
```
data_TlCu2Ge2
_chemical_formula_sum 'Tl2 Cu4 Ge4'
_cell_length_a 8.080
_cell_length_b 8.080
_cell_length_c 2.787
_cell_angle_alpha 90.00
_cell_angle_beta 90.00
_cell_angle_gamma 90.00
_space_group_name_H-M_alt 'P 4/m b m'
_space_group_IT_number 127
_space_group_name_Hall '-P 4 2ab'
loop_
_atom_site_label
_atom_site_fract_x
_atom_site_fract_y
_atom_site_fract_z
Tl1 0.000 0.000 0.000
Cu1 0.152 0.348 0.500
Ge1 0.135 0.635 0.000
```

[9]
Computed, not measured: a relaxed structure of TlCu2Ge2 at the GGA-PBE level of DFT.

Summary:
total magnetization = 0.00 Bohr magnetons per cell

Structure (CIF):
```
data_TlCu2Ge2
_chemical_formula_sum 'Tl2 Cu4 Ge4'
_cell_length_a 3.949
_cell_length_b 3.949
_cell_length_c 11.794
_cell_angle_alpha 90.00
_cell_angle_beta 90.00
_cell_angle_gamma 90.00
_space_group_name_H-M_alt 'I 4/m m m'
_space_group_IT_number 139
_space_group_name_Hall '-I 4 2'
loop_
_atom_site_label
_atom_site_fract_x
_atom_site_fract_y
_atom_site_fract_z
Tl1 0.000 0.000 0.000
Cu1 0.000 0.000 0.392
Ge1 0.000 0.500 0.250
```

[10]
Computed, not measured: a relaxed structure of TlCu3Ge at the GGA-PBE level of DFT.

Summary:
total magnetization = 0.00 Bohr magnetons per cell

Structure (CIF):
```
data_TlCu3Ge
_chemical_formula_sum 'Tl1 Cu3 Ge1'
_cell_length_a 4.859
_cell_length_b 4.859
_cell_length_c 4.859
_cell_angle_alpha 90.00
_cell_angle_beta 90.00
_cell_angle_gamma 90.00
_space_group_name_H-M_alt 'P m -3 m'
_space_group_IT_number 221
_space_group_name_Hall '-P 4 2 3'
loop_
_atom_site_label
_atom_site_fract_x
_atom_site_fract_y
_atom_site_fract_z
Tl1 0.000 0.000 0.000
Cu1 0.000 0.000 0.500
Ge1 0.500 0.500 0.500
```

[11]
Computed, not measured: a relaxed structure of TlCuGe2 at the GGA-PBE level of DFT.

Summary:
total magnetization = 0.00 Bohr magnetons per cell

Structure (CIF):
```
data_TlCuGe2
_chemical_formula_sum 'Tl3 Cu3 Ge6'
_cell_length_a 3.1738
_cell_length_b 3.1738
_cell_length_c 28.8906
_cell_angle_alpha 90.00
_cell_angle_beta 90.00
_cell_angle_gamma 120.00
_space_group_name_H-M_alt 'R -3 m'
_space_group_IT_number 166
_space_group_name_Hall '-R 3 2"'
loop_
_atom_site_label
_atom_site_fract_x
_atom_site_fract_y
_atom_site_fract_z
Tl1 0.0000 0.0000 0.0000
Cu1 0.0000 0.0000 0.5000
Ge1 0.0000 0.0000 0.1050
```

[12]
Computed, not measured: a relaxed structure of TlCu2Ge2 at the GGA-PBE level of DFT.

Summary:
total magnetization = 0.00 Bohr magnetons per cell

Structure (CIF):
```
data_TlCu2Ge2
_chemical_formula_sum 'Tl2 Cu4 Ge4'
_cell_length_a 4.232
_cell_length_b 4.232
_cell_length_c 10.596
_cell_angle_alpha 90.00
_cell_angle_beta 90.00
_cell_angle_gamma 90.00
_space_group_name_H-M_alt 'I 4/m m m'
_space_group_IT_number 139
_space_group_name_Hall '-I 4 2'
loop_
_atom_site_label
_atom_site_fract_x
_atom_site_fract_y
_atom_site_fract_z
Tl1 0.000 0.000 0.000
Cu1 0.000 0.500 0.250
Ge1 0.000 0.000 0.374
```

no.,formation energy (meV/atom),energy (eV per atom)
1,280,-3.64
2,448,-2.91
3,347,-3.45
4,409,-2.75
5,232,-3.73
6,386,-2.98
7,185,-3.43
8,259,-3.70
9,190,-3.77
10,1045,-2.81
11,260,-3.66
12,155,-3.80